5
Lattice="5.623 0.000 0.000 0.000 5.623 0.000 0.000 0.000 5.623" Properties=species:S:1:pos:R:3 comment="CsFeNF2 (PBE with a Hubbard U, relaxed)" final_energy_ev_per_atom=-3.29 dos_ef_per_ev_fu=2.5 polymorph_energy_ev_per_atom=1.527 magnetic_moment_mub_per_cell=8.026 space_group="P4/mmm (123)" pbc="T T T"
Cs 0.000 0.000 0.000
Fe 2.811 2.811 2.811
N 0.000 0.000 2.811
F 0.000 2.811 0.000
F 2.811 0.000 0.000